{
  "formula": "NaSrSnHg",
  "functional": "PBE",
  "state": "relaxed",
  "e_above_lowest_polymorph_mev_per_atom": 0.0,
  "lattice_angstrom": [[3.811, 0.000, 0.000], [0.000, 5.471, 0.000], [0.000, 0.000, 5.716]],
  "species": ["Na", "Sr", "Sn", "Hg"],
  "frac_coords": [[0.000, 0.000, 0.000], [0.000, 0.500, 0.427], [0.500, 0.500, 0.918], [0.500, 0.000, 0.546]]
}

{
  "formula": "NaTbSnHg",
  "functional": "PBE",
  "state": "relaxed",
  "final_energy_ev_per_atom": -2.998,
  "lattice_angstrom": [[7.452, 0.000, 0.000], [0.000, 7.452, 0.000], [0.000, 0.000, 7.452]],
  "species": ["Na", "Na", "Na", "Na", "Tb", "Tb", "Tb", "Tb", "Sn", "Sn", "Sn", "Sn", "Hg", "Hg", "Hg", "Hg"],
  "frac_coords": [[0.000, 0.000, 0.000], [0.000, 0.500, 0.500], [0.500, 0.000, 0.500], [0.500, 0.500, 0.000], [0.000, 0.000, 0.500], [0.000, 0.500, 0.000], [0.500, 0.000, 0.000], [0.500, 0.500, 0.500], [0.250, 0.250, 0.750], [0.250, 0.750, 0.250], [0.750, 0.250, 0.250], [0.750, 0.750, 0.750], [0.250, 0.250, 0.250], [0.250, 0.750, 0.750], [0.750, 0.250, 0.750], [0.750, 0.750, 0.250]]
}